1.
A relaxed structure of CsNb2O7. Source: Alexandria, functional PBE.

electronic total energy = -148.1 eV for the cell shown
magnetic moment = 1.0 μB per formula unit
E_form (uncorrected) = -1833 meV per atom

```
data_CsNb2O7
_chemical_formula_sum 'Cs2 Nb4 O14'
_cell_length_a 6.936
_cell_length_b 11.041
_cell_length_c 3.960
_cell_angle_alpha 90.00
_cell_angle_beta 90.00
_cell_angle_gamma 90.00
_space_group_name_H-M_alt 'C m m m'
_space_group_IT_number 65
_space_group_name_Hall '-C 2 2'
loop_
_atom_site_label
_atom_site_type_symbol
_atom_site_fract_x
_atom_site_fract_y
_atom_site_fract_z
Cs1 Cs 0.000 0.000 0.000
Nb1 Nb 0.000 0.323 0.500
O1 O 0.000 0.317 0.000
O2 O 0.000 0.500 0.500
O3 O 0.194 0.175 0.500
```

---

2.
A relaxed structure of Ta4SnS8. Source: Alexandria, functional PBE.

electronic total energy = -382.8 eV for the cell shown
magnetic moment = 0.0 μB per formula unit
E_form (uncorrected) = -867 meV per atom
excess energy over the best structure of this formula in the dataset = 0.30 eV/f.u.

```
data_Ta4SnS8
_chemical_formula_sum 'Ta16 Sn4 S32'
_cell_length_a 10.236
_cell_length_b 10.236
_cell_length_c 10.236
_cell_angle_alpha 90.00
_cell_angle_beta 90.00
_cell_angle_gamma 90.00
_space_group_name_H-M_alt 'F -4 3 m'
_space_group_IT_number 216
_space_group_name_Hall 'F -4 2 3'
loop_
_atom_site_label
_atom_site_type_symbol
_atom_site_fract_x
_atom_site_fract_y
_atom_site_fract_z
Ta1 Ta 0.104 0.104 0.104
Sn1 Sn 0.000 0.000 0.500
S1 S 0.130 0.130 0.870
S2 S 0.143 0.143 0.357
```

---

3.
A relaxed structure of Gd2DyTl. Source: Alexandria, functional PBE.

electronic total energy = -104.5 eV for the cell shown
magnetic moment = 14.8 μB per formula unit
energy of formation from the pure elements = 0.077 eV/atom
excess energy over the best structure of this formula in the dataset = 1.18 eV/f.u.

```
data_Gd2DyTl
_chemical_formula_sum 'Gd6 Dy3 Tl3'
_cell_length_a 3.5427
_cell_length_b 3.5427
_cell_length_c 36.3265
_cell_angle_alpha 90.00
_cell_angle_beta 90.00
_cell_angle_gamma 120.00
_space_group_name_H-M_alt 'R -3 m'
_space_group_IT_number 166
_space_group_name_Hall '-R 3 2"'
loop_
_atom_site_label
_atom_site_type_symbol
_atom_site_fract_x
_atom_site_fract_y
_atom_site_fract_z
Gd1 Gd 0.0000 0.0000 0.0889
Dy1 Dy 0.0000 0.0000 0.5000
Tl1 Tl 0.0000 0.0000 0.0000
```

---

4.
A relaxed structure of NiSn6Rh. Source: Alexandria, functional PBE.

electronic total energy = -74.9 eV for the cell shown
magnetic moment = 0.0 μB per formula unit
energy of formation from the pure elements = -0.040 eV/atom

```
data_NiSn6Rh
_chemical_formula_sum 'Ni2 Sn12 Rh2'
_cell_length_a 6.202
_cell_length_b 11.097
_cell_length_c 6.163
_cell_angle_alpha 90.00
_cell_angle_beta 115.76
_cell_angle_gamma 90.00
_space_group_name_H-M_alt 'C 1 2/m 1'
_space_group_IT_number 12
loop_
_space_group_symop_operation_xyz
'x,y,z'
'-x,-y,-z'
'-x,y,-z'
'x,-y,z'
'x+1/2,y+1/2,z'
'-x+1/2,-y+1/2,-z'
'-x+1/2,y+1/2,-z'
'x+1/2,-y+1/2,z'
loop_
_atom_site_label
_atom_site_type_symbol
_atom_site_fract_x
_atom_site_fract_y
_atom_site_fract_z
Ni1 Ni 0.000 0.000 0.000
Sn1 Sn 0.241 0.191 0.247
Sn2 Sn 0.245 0.000 0.754
Rh1 Rh 0.000 0.500 0.500
```

---

5.
A relaxed structure of SmGdTh2. Source: Alexandria, functional PBE.

electronic total energy = -131.8 eV for the cell shown
magnetic moment = 7.1 μB per formula unit
energy of formation from the pure elements = 0.173 eV/atom
excess energy over the best structure of this formula in the dataset = 0.44 eV/f.u.

```
data_SmGdTh2
_chemical_formula_sum 'Sm4 Gd4 Th8'
_cell_length_a 8.039
_cell_length_b 8.039
_cell_length_c 8.039
_cell_angle_alpha 90.00
_cell_angle_beta 90.00
_cell_angle_gamma 90.00
_space_group_name_H-M_alt 'F m -3 m'
_space_group_IT_number 225
_space_group_name_Hall '-F 4 2 3'
loop_
_atom_site_label
_atom_site_type_symbol
_atom_site_fract_x
_atom_site_fract_y
_atom_site_fract_z
Sm1 Sm 0.000 0.000 0.000
Gd1 Gd 0.000 0.000 0.500
Th1 Th 0.250 0.250 0.250
```

---

6.
A relaxed structure of Sm6In2Rh. Source: Alexandria, functional PBE.

electronic total energy = -44.9 eV for the cell shown
magnetic moment = 0.0 μB per formula unit
energy of formation from the pure elements = -0.415 eV/atom
excess energy over the best structure of this formula in the dataset = 0.00 eV/f.u.

```
data_Sm6In2Rh
_chemical_formula_sum 'Sm6 In2 Rh1'
_cell_length_a 8.8480
_cell_length_b 8.8480
_cell_length_c 3.8534
_cell_angle_alpha 90.00
_cell_angle_beta 90.00
_cell_angle_gamma 120.00
_space_group_name_H-M_alt 'P -6 2 m'
_space_group_IT_number 189
_space_group_name_Hall 'P -6 -2'
loop_
_atom_site_label
_atom_site_type_symbol
_atom_site_fract_x
_atom_site_fract_y
_atom_site_fract_z
Sm1 Sm 0.0000 0.3966 0.0000
Sm2 Sm 0.0000 0.7570 0.5000
In1 In 0.3333 0.6667 0.5000
Rh1 Rh 0.0000 0.0000 0.0000
```

---

7.
A relaxed structure of CdBAsSe2. Source: Alexandria, functional PBE.

electronic total energy = -11.4 eV for the cell shown
magnetic moment = 0.8 μB per formula unit
E_form (uncorrected) = 1565 meV per atom
excess energy over the best structure of this formula in the dataset = 4.93 eV/f.u.

```
data_CdBAsSe2
_chemical_formula_sum 'Cd1 B1 As1 Se2'
_cell_length_a 5.274
_cell_length_b 5.274
_cell_length_c 5.107
_cell_angle_alpha 90.00
_cell_angle_beta 90.00
_cell_angle_gamma 90.00
_space_group_name_H-M_alt 'P 4/m m m'
_space_group_IT_number 123
_space_group_name_Hall '-P 4 2'
loop_
_atom_site_label
_atom_site_type_symbol
_atom_site_fract_x
_atom_site_fract_y
_atom_site_fract_z
Cd1 Cd 0.000 0.000 0.000
B1 B 0.500 0.500 0.500
As1 As 0.000 0.000 0.500
Se1 Se 0.000 0.500 0.000
```

---

8.
A relaxed structure of ErPu2PaBi5. Source: Alexandria, functional PBE.

electronic total energy = -59.8 eV for the cell shown
magnetic moment = 10.8 μB per formula unit
energy of formation from the pure elements = 0.257 eV/atom

```
data_ErPu2PaBi5
_chemical_formula_sum 'Er1 Pu2 Pa1 Bi5'
_cell_length_a 5.678
_cell_length_b 5.678
_cell_length_c 11.754
_cell_angle_alpha 90.00
_cell_angle_beta 90.00
_cell_angle_gamma 90.00
_space_group_name_H-M_alt 'P 4/m m m'
_space_group_IT_number 123
_space_group_name_Hall '-P 4 2'
loop_
_atom_site_label
_atom_site_type_symbol
_atom_site_fract_x
_atom_site_fract_y
_atom_site_fract_z
Er1 Er 0.000 0.000 0.000
Pu1 Pu 0.500 0.500 0.288
Pa1 Pa 0.000 0.000 0.500
Bi1 Bi 0.000 0.000 0.246
Bi2 Bi 0.000 0.500 0.500
Bi3 Bi 0.500 0.500 0.000
```